[1]
DFT (GGA-PBE) results for an optimized crystal structure of NdErZn2.

Unit cell a=3.621 b=3.621 c=27.207 alpha=90.00 beta=90.00 gamma=120.00
Sites, in units of the cell vectors:
Nd (0.000, 0.000, 0.000)
Nd (0.333, 0.667, 0.667)
Nd (0.667, 0.333, 0.333)
Er (0.000, 0.000, 0.500)
Er (0.333, 0.667, 0.167)
Er (0.667, 0.333, 0.833)
Zn (0.000, 0.000, 0.246)
Zn (0.000, 0.000, 0.754)
Zn (0.333, 0.667, 0.421)
Zn (0.333, 0.667, 0.913)
Zn (0.667, 0.333, 0.087)
Zn (0.667, 0.333, 0.579)

Summary:
magnetic moment	0.0	Bohr magnetons per cell
space group	No. 166
ΔE to the lowest computed polymorph	221	meV per atom
E_form	-0.40	eV/f.u.
uncorrected energy	-3.07	eV per atom
DOS(E_F)	13.84	states/eV/cell
crystal system	trigonal



[2]
DFT (GGA-PBE) results for an optimized crystal structure of CrB2AsRu.

Unit cell a=3.928 b=3.928 c=4.724 alpha=90.00 beta=90.00 gamma=90.00
Sites, in units of the cell vectors:
Cr (0.000, 0.000, 0.000)
B (0.000, 0.500, 0.500)
B (0.500, 0.000, 0.500)
As (0.500, 0.500, 0.500)
Ru (0.500, 0.500, 0.000)

Summary:
magnetic moment	0.1	Bohr magnetons per cell
space group	No. 123
E_form	9.98	eV/f.u.
uncorrected energy	-5.38	eV per atom
DOS(E_F)	9.01	states/eV/cell
crystal system	tetragonal



[3]
DFT (GGA-PBE) results for an optimized crystal structure of Ca2Zr.

Unit cell a=9.948 b=9.948 c=3.405 alpha=90.00 beta=90.00 gamma=120.00
Sites, in units of the cell vectors:
Ca (0.000, 0.307, 0.000)
Ca (0.000, 0.642, 0.500)
Ca (0.307, 0.000, 0.000)
Ca (0.358, 0.358, 0.500)
Ca (0.642, 0.000, 0.500)
Ca (0.693, 0.693, 0.000)
Zr (0.000, 0.000, 0.500)
Zr (0.333, 0.667, 0.000)
Zr (0.667, 0.333, 0.000)

Summary:
magnetic moment	5.7	Bohr magnetons per cell
space group	No. 189
ΔE to the lowest computed polymorph	193	meV per atom
E_form	1.30	eV/f.u.
uncorrected energy	-3.75	eV per atom
DOS(E_F)	15.33	states/eV/cell
crystal system	hexagonal



[4]
DFT (GGA-PBE) results for an optimized crystal structure of Ac2La15Sm2.

Unit cell a=9.074 b=9.074 c=9.074 alpha=80.75 beta=80.75 gamma=80.75
Sites, in units of the cell vectors:
Ac (0.169, 0.169, 0.169)
Ac (0.831, 0.831, 0.831)
La (0.000, 0.500, 0.500)
La (0.136, 0.136, 0.652)
La (0.136, 0.652, 0.136)
La (0.204, 0.500, 0.796)
La (0.204, 0.796, 0.500)
La (0.348, 0.864, 0.864)
La (0.500, 0.000, 0.500)
La (0.500, 0.204, 0.796)
La (0.500, 0.500, 0.000)
La (0.500, 0.796, 0.204)
La (0.652, 0.136, 0.136)
La (0.796, 0.204, 0.500)
La (0.796, 0.500, 0.204)
La (0.864, 0.348, 0.864)
La (0.864, 0.864, 0.348)
Sm (0.408, 0.408, 0.408)
Sm (0.592, 0.592, 0.592)

Summary:
magnetic moment	0.0	Bohr magnetons per cell
space group	No. 166
E_form	3.28	eV/f.u.
uncorrected energy	-4.65	eV per atom
DOS(E_F)	33.81	states/eV/cell
crystal system	trigonal



[5]
DFT (GGA-PBE) results for an optimized crystal structure of NbFe2Rh.

Unit cell a=3.796 b=3.796 c=3.816 alpha=90.00 beta=90.00 gamma=90.00
Sites, in units of the cell vectors:
Nb (0.000, 0.000, 0.000)
Fe (0.000, 0.500, 0.500)
Fe (0.500, 0.000, 0.500)
Rh (0.500, 0.500, 0.000)

Summary:
magnetic moment	3.6	Bohr magnetons per cell
space group	No. 123
E_form	-0.64	eV/f.u.
uncorrected energy	-8.75	eV per atom
DOS(E_F)	3.26	states/eV/cell
crystal system	tetragonal



[6]
DFT (GGA-PBE) results for an optimized crystal structure of Nd3RuPt.

Unit cell a=8.858 b=7.452 c=8.506 alpha=90.00 beta=107.25 gamma=90.00
Sites, in units of the cell vectors:
Nd (0.044, 0.008, 0.214)
Nd (0.044, 0.492, 0.714)
Nd (0.282, 0.657, 0.104)
Nd (0.282, 0.843, 0.604)
Nd (0.353, 0.189, 0.003)
Nd (0.353, 0.311, 0.503)
Nd (0.647, 0.689, 0.497)
Nd (0.647, 0.811, 0.997)
Nd (0.718, 0.157, 0.396)
Nd (0.718, 0.343, 0.896)
Nd (0.956, 0.508, 0.286)
Nd (0.956, 0.992, 0.786)
Ru (0.060, 0.184, 0.524)
Ru (0.060, 0.316, 0.024)
Ru (0.940, 0.684, 0.976)
Ru (0.940, 0.816, 0.476)
Pt (0.405, 0.533, 0.816)
Pt (0.405, 0.967, 0.316)
Pt (0.595, 0.033, 0.684)
Pt (0.595, 0.467, 0.184)

Summary:
magnetic moment	0.0	Bohr magnetons per cell
space group	No. 14
ΔE to the lowest computed polymorph	0	meV per atom
E_form	-2.80	eV/f.u.
uncorrected energy	-6.48	eV per atom
DOS(E_F)	14.30	states/eV/cell
crystal system	monoclinic



[7]
DFT (GGA-PBE) results for an optimized crystal structure of MgUIrRh.

Unit cell a=6.607 b=6.607 c=6.607 alpha=90.00 beta=90.00 gamma=90.00
Sites, in units of the cell vectors:
Mg (0.000, 0.000, 0.000)
Mg (0.000, 0.500, 0.500)
Mg (0.500, 0.000, 0.500)
Mg (0.500, 0.500, 0.000)
U (0.000, 0.000, 0.500)
U (0.000, 0.500, 0.000)
U (0.500, 0.000, 0.000)
U (0.500, 0.500, 0.500)
Ir (0.250, 0.250, 0.250)
Ir (0.250, 0.750, 0.750)
Ir (0.750, 0.250, 0.750)
Ir (0.750, 0.750, 0.250)
Rh (0.250, 0.250, 0.750)
Rh (0.250, 0.750, 0.250)
Rh (0.750, 0.250, 0.250)
Rh (0.750, 0.750, 0.750)

Summary:
magnetic moment	6.8	Bohr magnetons per cell
space group	No. 216
E_form	-1.94	eV/f.u.
uncorrected energy	-7.76	eV per atom
DOS(E_F)	22.33	states/eV/cell
crystal system	cubic



[8]
DFT (GGA-PBE) results for an optimized crystal structure of Sr2Cd2Hg.

Unit cell a=6.456 b=6.456 c=8.576 alpha=90.00 beta=90.00 gamma=90.00
Sites, in units of the cell vectors:
Sr (0.000, 0.500, 0.250)
Sr (0.000, 0.500, 0.750)
Sr (0.500, 0.000, 0.250)
Sr (0.500, 0.000, 0.750)
Cd (0.000, 0.000, 0.157)
Cd (0.000, 0.000, 0.843)
Cd (0.500, 0.500, 0.343)
Cd (0.500, 0.500, 0.657)
Hg (0.000, 0.000, 0.500)
Hg (0.500, 0.500, 0.000)

Summary:
magnetic moment	0.0	Bohr magnetons per cell
space group	No. 139
ΔE to the lowest computed polymorph	213	meV per atom
E_form	-0.79	eV/f.u.
uncorrected energy	-1.26	eV per atom
DOS(E_F)	5.61	states/eV/cell
crystal system	tetragonal